No. 1
Here is crystalline USb2Pd9 at its relaxed geometry from Alexandria. Energies are from PBE.

E, eV per atom: -5.946
Calculated volume, Å³/cell: 204.9

Unit cell a=4.1163 b=4.1163 c=12.0920 alpha=90.00 beta=90.00 gamma=90.00
Space group P4/mmm (No. 123)
Symmetry-distinct sites (fractional):
U1 0.0000 0.0000 0.0000 (multiplicity 1)
Sb1 0.0000 0.0000 0.3395 (multiplicity 2)
Pd1 0.0000 0.5000 0.1654 (multiplicity 4)
Pd2 0.0000 0.5000 0.5000 (multiplicity 2)
Pd3 0.5000 0.5000 0.0000 (multiplicity 1)
Pd4 0.5000 0.5000 0.3342 (multiplicity 2)

***

No. 2
Here is crystalline ZrCo2Ge2 at its relaxed geometry from Alexandria. Energies are from PBE.

E, eV per atom: -6.652
Calculated volume, Å³/cell: 142.4

Unit cell a=7.2056 b=7.2056 c=2.7430 alpha=90.00 beta=90.00 gamma=90.00
Space group P4/mbm (No. 127)
Symmetry-distinct sites (fractional):
Zr1 0.0000 0.0000 0.0000 (multiplicity 2)
Co1 0.1451 0.3549 0.5000 (multiplicity 4)
Ge1 0.1459 0.6459 0.0000 (multiplicity 4)

***

No. 3
Here is crystalline Pr2GeRh3 at its relaxed geometry from Alexandria. Energies are from PBE.

E, eV per atom: -6.810
Calculated volume, Å³/cell: 343.7

Unit cell a=5.7145 b=5.7145 c=12.1536 alpha=90.00 beta=90.00 gamma=120.00
Space group R-3m (No. 166, hexagonal axes)
Symmetry-distinct sites (fractional):
Pr1 0.0000 0.0000 0.1283 (multiplicity 6)
Ge1 0.0000 0.0000 0.5000 (multiplicity 3)
Rh1 0.0000 0.5000 0.0000 (multiplicity 9)

***

No. 4
Here is crystalline TeSe5 at its relaxed geometry from Alexandria. Energies are from PBE.

E, eV per atom: -3.226
Energy above the most stable polymorph in this dataset, meV/atom: 40
Calculated volume, Å³/cell: 372.3

Unit cell a=8.5183 b=11.2024 c=3.9013 alpha=90.00 beta=90.00 gamma=90.00
Space group Cmmm (No. 65)
Symmetry-distinct sites (fractional):
Te1 0.0000 0.0000 0.0000 (multiplicity 2)
Se1 0.0000 0.1762 0.5000 (multiplicity 4)
Se2 0.0000 0.3410 0.0000 (multiplicity 4)
Se3 0.0000 0.5000 0.5000 (multiplicity 2)

***

No. 5
Here is crystalline ZrMn3Sb at its relaxed geometry from Alexandria. Energies are from PBE.

E, eV per atom: -6.810
Energy above the most stable polymorph in this dataset, meV/atom: 300
Calculated volume, Å³/cell: 112.5

Unit cell a=4.8276 b=4.8276 c=4.8276 alpha=90.00 beta=90.00 gamma=90.00
Space group Pm-3m (No. 221)
Symmetry-distinct sites (fractional):
Zr1 0.0000 0.0000 0.0000 (multiplicity 1)
Mn1 0.0000 0.0000 0.5000 (multiplicity 3)
Sb1 0.5000 0.5000 0.5000 (multiplicity 1)

***

No. 6
Here is crystalline La2Dy5Y2 at its relaxed geometry from Alexandria. Energies are from PBE.

E, eV per atom: -4.874
Energy above the most stable polymorph in this dataset, meV/atom: 15
Calculated volume, Å³/cell: 625.7

Unit cell a=21.8115 b=3.5035 c=8.3202 alpha=90.00 beta=100.20 gamma=90.00
Space group C2/m (No. 12)
Symmetry-distinct sites (fractional):
La1 0.1810 0.0000 0.1443 (multiplicity 4)
Dy1 0.0000 0.0000 0.0000 (multiplicity 2)
Dy2 0.0961 0.0000 0.7345 (multiplicity 4)
Dy3 0.1908 0.5000 0.5336 (multiplicity 4)
Y1 0.0468 0.5000 0.3574 (multiplicity 4)

***

No. 7
Here is crystalline LuHfBeTc at its relaxed geometry from Alexandria. Energies are from PBE.

E, eV per atom: -7.267
Calculated volume, Å³/cell: 284.0

Unit cell a=6.5729 b=6.5729 c=6.5729 alpha=90.00 beta=90.00 gamma=90.00
Space group F-43m (No. 216)
Symmetry-distinct sites (fractional):
Lu1 0.0000 0.0000 0.0000 (multiplicity 4)
Hf1 0.0000 0.0000 0.5000 (multiplicity 4)
Be1 0.2500 0.2500 0.2500 (multiplicity 4)
Tc1 0.2500 0.2500 0.7500 (multiplicity 4)

***

No. 8
Here is crystalline Al2HgRh at its relaxed geometry from Alexandria. Energies are from PBE.

E, eV per atom: -3.981
Calculated volume, Å³/cell: 69.2

Unit cell a=2.9640 b=2.9640 c=7.8735 alpha=90.00 beta=90.00 gamma=90.00
Space group P4mm (No. 99)
Symmetry-distinct sites (fractional):
Al1 0.0000 0.0000 0.0000 (multiplicity 1)
Al2 0.5000 0.5000 0.2549 (multiplicity 1)
Hg1 0.0000 0.0000 0.5558 (multiplicity 1)
Rh1 0.5000 0.5000 0.8250 (multiplicity 1)

***

No. 9
Here is crystalline Nd2Y8Tm3 at its relaxed geometry from Alexandria. Energies are from PBE.

E, eV per atom: -5.503
Energy above the most stable polymorph in this dataset, meV/atom: 93
Calculated volume, Å³/cell: 879.3

Unit cell a=7.6043 b=20.7157 c=5.5819 alpha=90.00 beta=90.00 gamma=90.00
Space group Cmmm (No. 65)
Symmetry-distinct sites (fractional):
Nd1 0.0000 0.2407 0.0000 (multiplicity 4)
Y1 0.0000 0.1296 0.5000 (multiplicity 4)
Y2 0.0000 0.3366 0.5000 (multiplicity 4)
Y3 0.2131 0.3949 0.0000 (multiplicity 8)
Tm1 0.0000 0.0000 0.0000 (multiplicity 2)
Tm2 0.2167 0.5000 0.5000 (multiplicity 4)

***

No. 10
Here is crystalline Dy2Cu2Se at its relaxed geometry from Alexandria. Energies are from PBE.

E, eV per atom: -5.022
Calculated volume, Å³/cell: 318.4

Unit cell a=4.0877 b=4.0877 c=21.9992 alpha=90.00 beta=90.00 gamma=120.00
Space group R-3m (No. 166, hexagonal axes)
Symmetry-distinct sites (fractional):
Dy1 0.0000 0.0000 0.0848 (multiplicity 6)
Cu1 0.0000 0.0000 0.3317 (multiplicity 6)
Se1 0.0000 0.0000 0.5000 (multiplicity 3)

***

No. 11
Here is crystalline Tl2AgF7 at its relaxed geometry from Alexandria. Energies are from PBE.

E, eV per atom: -3.672
Calculated volume, Å³/cell: 334.5

Unit cell a=7.0328 b=11.0068 c=4.3211 alpha=90.00 beta=90.00 gamma=90.00
Space group Cmmm (No. 65)
Symmetry-distinct sites (fractional):
Tl1 0.0000 0.1978 0.0000 (multiplicity 4)
Ag1 0.0000 0.5000 0.5000 (multiplicity 2)
F1 0.0000 0.0000 0.0000 (multiplicity 2)
F2 0.0000 0.2313 0.5000 (multiplicity 4)
F3 0.1893 0.3649 0.0000 (multiplicity 8)

***

No. 12
Here is crystalline Li2CdNiH6 at its relaxed geometry from Alexandria. Energies are from PBE.

E, eV per atom: -3.154
Calculated volume, Å³/cell: 88.0

Unit cell a=4.8467 b=4.8479 c=5.1404 alpha=61.93 beta=62.01 gamma=60.17
Space group P1 (No. 1)
Symmetry-distinct sites (fractional):
Li1 0.0000 0.0000 0.0000 (multiplicity 1)
Li2 0.4748 0.4737 0.5755 (multiplicity 1)
Cd1 0.2123 0.2097 0.3653 (multiplicity 1)
Ni1 0.6948 0.6955 0.9122 (multiplicity 1)
H1 0.3766 0.5848 0.1359 (multiplicity 1)
H2 0.4677 0.9994 0.6917 (multiplicity 1)
H3 0.5866 0.8962 0.1387 (multiplicity 1)
H4 0.8379 0.4722 0.6921 (multiplicity 1)
H5 0.9043 0.3763 0.1345 (multiplicity 1)
H6 0.9938 0.8411 0.6910 (multiplicity 1)